# CsGeO2F

Crystalline CsGeO2F at its relaxed geometry (GGA-PBE, Alexandria via LeMat-Bulk).

Results
For the total energy, the calculation gives -4.956 eV per atom. The symmetry is P4/mmm. The density of states at the Fermi level comes out at 0.29 states/eV per atom. The value obtained for the formation energy without anion corrections is -1504 meV per atom. The total magnetization is 0.135 μB/f.u.

Unit cell a=3.8657 b=3.8657 c=4.9207 alpha=90.00 beta=90.00 gamma=90.00
With the nearest neighbours (Å) after each atom.
Element x y z (fractional)
Cs (0.0000, 0.0000, 0.0000)  4 F 2.73
Ge (0.5000, 0.5000, 0.5000)  4 O 1.93
O (0.0000, 0.5000, 0.5000)  2 Ge 1.93
O (0.5000, 0.0000, 0.5000)  2 Ge 1.93
F (0.5000, 0.5000, 0.0000)  2 Ge 2.46, 4 Cs 2.73